Record 1
{"formula": "TaGa3Sn", "functional": "PBE", "state": "optimized geometry", "cell": [[5.0538, 0.0000, 0.0000], [0.0000, 5.0538, 0.0000], [0.0000, 0.0000, 5.0538]], "species": ["Ta", "Ga", "Ga", "Ga", "Sn"], "fractional_positions": [[0.0000, 0.0000, 0.0000], [0.0000, 0.0000, 0.5000], [0.0000, 0.5000, 0.0000], [0.5000, 0.0000, 0.0000], [0.5000, 0.5000, 0.5000]], "formation_energy_mev_per_atom": 492}

Record 2
{"formula": "NaSnOs2W", "functional": "PBE", "state": "optimized geometry", "cell": [[4.9124, 0.0000, 0.0000], [0.0000, 4.9124, 0.0000], [0.0000, 0.0000, 5.0004]], "species": ["Na", "Sn", "Os", "Os", "W"], "fractional_positions": [[0.0000, 0.0000, 0.0000], [0.5000, 0.5000, 0.5000], [0.0000, 0.5000, 0.5000], [0.5000, 0.0000, 0.5000], [0.5000, 0.5000, 0.0000]], "formation_energy_mev_per_atom": 2550}

Record 3
{"formula": "CsHgNO2", "functional": "PBE", "state": "optimized geometry", "cell": [[4.5105, 0.0000, 0.0000], [0.0000, 4.5105, 0.0000], [0.0000, 0.0000, 4.5621]], "species": ["Cs", "Hg", "N", "O", "O"], "fractional_positions": [[0.0000, 0.0000, 0.0000], [0.5000, 0.5000, 0.5000], [0.5000, 0.5000, 0.0000], [0.0000, 0.5000, 0.5000], [0.5000, 0.0000, 0.5000]], "formation_energy_uncorrected_ev_per_fu": 3.10}